DFT (GGA-PBE) results for crystalline TaTcAs2Se at its relaxed geometry.

Properties
Distance to the lowest polymorph of the same formula ... 0.00 eV per formula unit
Symmetry ... P4/mmm (123)

Cell: 5.020 5.020 4.930 Å, 90.00 90.00 90.00°
Each line ends with the local moment (μB).
Fractional coordinates of all 5 atoms:
As 0.000 0.500 0.000  -0.10
Ta 0.000 0.000 0.000  0.20
As 0.500 0.000 0.000  -0.10
Se 0.000 0.000 0.500  -0.04
Tc 0.500 0.500 0.500  3.65

=====

DFT (GGA-PBE) results for crystalline LiCaHg2Bi at its relaxed geometry.

Properties
ΔE_f ... -0.302 eV/atom
Symmetry ... P4/mmm (123)

Cell: 4.985 4.985 5.435 Å, 90.00 90.00 90.00°
Fractional coordinates of all 5 atoms:
Hg 0.000 0.500 0.000
Hg 0.500 0.000 0.000
Li 0.000 0.000 0.000
Bi 0.000 0.000 0.500
Ca 0.500 0.500 0.500

=====

DFT (GGA-PBE) results for crystalline RbNpCl6 at its relaxed geometry.

Properties
Distance to the lowest polymorph of the same formula ... 0.00 eV per formula unit
Symmetry ... P-31c (163)

Cell: 7.166 7.166 13.304 Å, 90.00 90.00 120.00°
Each line ends with the local moment (μB).
Fractional coordinates of all 16 atoms:
Cl 0.688 0.943 0.891  -0.06
Np 0.000 0.000 0.500  2.41
Cl 0.744 0.688 0.109  -0.06
Cl 0.057 0.744 0.891  -0.06
Cl 0.744 0.057 0.391  -0.06
Cl 0.943 0.256 0.109  -0.06
Rb 0.667 0.333 0.750  0.00
Cl 0.256 0.312 0.891  -0.06
Cl 0.943 0.688 0.391  -0.06
Cl 0.256 0.943 0.609  -0.06
Cl 0.312 0.256 0.391  -0.06
Cl 0.688 0.744 0.609  -0.06
Rb 0.333 0.667 0.250  0.00
Cl 0.057 0.312 0.609  -0.06
Cl 0.312 0.057 0.109  -0.06
Np 0.000 0.000 0.000  2.41